1.
Ca2Ac2Dy: relaxed, PBE.

Calculated values
Size of the total moment ... 1.09 μB per formula unit
V ... 1238.6 Å³/cell
Calculated total energy ... -2.078 eV/atom

```
Ca2Ac2Dy
1.0
4.828 0.000 0.000
0.000 4.828 0.000
0.000 0.000 53.144
Ca Ac Dy
4 4 2
direct
0.000 0.000 0.194 Ca
0.000 0.000 0.806 Ca
0.500 0.500 0.306 Ca
0.500 0.500 0.694 Ca
0.000 0.500 0.250 Ac
0.000 0.500 0.750 Ac
0.500 0.000 0.250 Ac
0.500 0.000 0.750 Ac
0.000 0.000 0.500 Dy
0.500 0.500 0.000 Dy
```

2.
CaAcDyEr: relaxed, PBE.

Calculated values
Size of the total moment ... 0.00 μB per formula unit
V ... 583.8 Å³/cell
Calculated total energy ... -3.689 eV/atom

```
CaAcDyEr
1.0
8.358 0.000 0.000
0.000 8.358 0.000
0.000 0.000 8.358
Ca Ac Dy Er
4 4 4 4
direct
0.000 0.000 0.000 Ca
0.000 0.500 0.500 Ca
0.500 0.000 0.500 Ca
0.500 0.500 0.000 Ca
0.250 0.250 0.250 Ac
0.250 0.750 0.750 Ac
0.750 0.250 0.750 Ac
0.750 0.750 0.250 Ac
0.250 0.250 0.750 Dy
0.250 0.750 0.250 Dy
0.750 0.250 0.250 Dy
0.750 0.750 0.750 Dy
0.000 0.000 0.500 Er
0.000 0.500 0.000 Er
0.500 0.000 0.000 Er
0.500 0.500 0.500 Er
```

3.
CaAcLaDy: relaxed, PBE.

Calculated values
Size of the total moment ... 0.00 μB per formula unit
V ... 615.8 Å³/cell
Excess energy over the best structure of this formula in the dataset ... 0.025 eV per atom

```
CaAcLaDy
1.0
8.508 0.000 0.000
0.000 8.508 0.000
0.000 0.000 8.508
Ca Ac La Dy
4 4 4 4
direct
0.000 0.000 0.000 Ca
0.000 0.500 0.500 Ca
0.500 0.000 0.500 Ca
0.500 0.500 0.000 Ca
0.250 0.250 0.750 Ac
0.250 0.750 0.250 Ac
0.750 0.250 0.250 Ac
0.750 0.750 0.750 Ac
0.250 0.250 0.250 La
0.250 0.750 0.750 La
0.750 0.250 0.750 La
0.750 0.750 0.250 La
0.000 0.000 0.500 Dy
0.000 0.500 0.000 Dy
0.500 0.000 0.000 Dy
0.500 0.500 0.500 Dy
```